(1)
This record from the Alexandria database describes crystalline NbP2NCl at its relaxed geometry. The functional is PBE.

```
data_NbP2NCl
_chemical_formula_sum 'Nb1 P2 N1 Cl1'
_cell_length_a 4.8277
_cell_length_b 4.8277
_cell_length_c 5.0483
_cell_angle_alpha 90.00
_cell_angle_beta 90.00
_cell_angle_gamma 90.00
_space_group_name_H-M_alt 'P 4/m m m'
_space_group_IT_number 123
_space_group_name_Hall '-P 4 2'
loop_
_atom_site_label
_atom_site_fract_x
_atom_site_fract_y
_atom_site_fract_z
Nb1 0.0000 0.0000 0.0000
P1 0.0000 0.5000 0.0000
N1 0.5000 0.5000 0.5000
Cl1 0.0000 0.0000 0.5000
```

## Properties
The density of states at the Fermi level is 2.71 states/eV/f.u. The calculation puts the energy above the most stable polymorph in this dataset at 0.2886 eV per atom.



(2)
This record from the Alexandria database describes crystalline Sc2SnP2 at its relaxed geometry. The functional is PBE.

```
data_Sc2SnP2
_chemical_formula_sum 'Sc4 Sn2 P4'
_cell_length_a 3.5442
_cell_length_b 3.5442
_cell_length_c 15.4485
_cell_angle_alpha 90.00
_cell_angle_beta 90.00
_cell_angle_gamma 90.00
_space_group_name_H-M_alt 'I 4/m m m'
_space_group_IT_number 139
_space_group_name_Hall '-I 4 2'
loop_
_atom_site_label
_atom_site_fract_x
_atom_site_fract_y
_atom_site_fract_z
Sc1 0.0000 0.0000 0.1214
Sn1 0.0000 0.0000 0.5000
P1 0.0000 0.5000 0.2500
```

## Properties
The density of states at the Fermi level is 1.63 states/eV/f.u. The formation energy comes out at -797.4 meV/atom. The calculation puts the energy above the most stable polymorph in this dataset at 0.0296 eV per atom.



(3)
This record from the Alexandria database describes crystalline LiAc2Cd6Ag at its relaxed geometry. The functional is PBE.

```
data_LiAc2Cd6Ag
_chemical_formula_sum 'Li1 Ac2 Cd6 Ag1'
_cell_length_a 6.9860
_cell_length_b 6.9861
_cell_length_c 7.4522
_cell_angle_alpha 62.19
_cell_angle_beta 62.19
_cell_angle_gamma 60.07
_space_group_name_H-M_alt 'P -1'
_space_group_IT_number 2
loop_
_space_group_symop_operation_xyz
'x,y,z'
'-x,-y,-z'
loop_
_atom_site_label
_atom_site_fract_x
_atom_site_fract_y
_atom_site_fract_z
Li1 0.0000 0.0000 0.0000
Ac1 0.2166 0.2165 0.3497
Cd1 0.2406 0.6828 0.8324
Cd2 0.2433 0.2417 0.8317
Cd3 0.3172 0.7575 0.1676
Ag1 0.5000 0.5000 0.5000
```

## Properties
The density of states at the Fermi level is 5.83 states/eV/f.u. The formation energy comes out at -159.0 meV/atom.



(4)
This record from the Alexandria database describes crystalline AcAl5Zn2 at its relaxed geometry. The functional is PBE.

```
data_AcAl5Zn2
_chemical_formula_sum 'Ac2 Al10 Zn4'
_cell_length_a 4.2336
_cell_length_b 7.3848
_cell_length_c 10.1273
_cell_angle_alpha 90.00
_cell_angle_beta 90.00
_cell_angle_gamma 90.00
_space_group_name_H-M_alt 'I m m m'
_space_group_IT_number 71
_space_group_name_Hall '-I 2 2'
loop_
_atom_site_label
_atom_site_fract_x
_atom_site_fract_y
_atom_site_fract_z
Ac1 0.0000 0.0000 0.0000
Al1 0.0000 0.1836 0.3589
Al2 0.0000 0.5000 0.0000
Zn1 0.0000 0.5000 0.2504
```

## Properties
The density of states at the Fermi level is 2.81 states/eV/f.u. The formation energy comes out at -185.2 meV/atom.



(5)
This record from the Alexandria database describes crystalline CuTe8Au4 at its relaxed geometry. The functional is PBE.

```
data_CuTe8Au4
_chemical_formula_sum 'Cu2 Te16 Au8'
_cell_length_a 13.6213
_cell_length_b 8.9077
_cell_length_c 6.8251
_cell_angle_alpha 90.00
_cell_angle_beta 117.62
_cell_angle_gamma 90.00
_space_group_name_H-M_alt 'C 1 2/m 1'
_space_group_IT_number 12
loop_
_space_group_symop_operation_xyz
'x,y,z'
'-x,-y,-z'
'-x,y,-z'
'x,-y,z'
'x+1/2,y+1/2,z'
'-x+1/2,-y+1/2,-z'
'-x+1/2,y+1/2,-z'
'x+1/2,-y+1/2,z'
loop_
_atom_site_label
_atom_site_fract_x
_atom_site_fract_y
_atom_site_fract_z
Cu1 0.0000 0.0000 0.0000
Te1 0.0234 0.2669 0.7876
Te2 0.2144 0.0000 0.2281
Te3 0.2253 0.0000 0.6858
Au1 0.0000 0.0000 0.5000
Au2 0.0000 0.5000 0.5000
Au3 0.2500 0.2500 0.0000
```

## Properties
Its energy is -42.08 eV/f.u. The density of states at the Fermi level is 7.70 states/eV/f.u.



(6)
This record from the Alexandria database describes crystalline Dy2GaAg at its relaxed geometry. The functional is PBE.

```
data_Dy2GaAg
_chemical_formula_sum 'Dy2 Ga1 Ag1'
_cell_length_a 3.5502
_cell_length_b 3.5502
_cell_length_c 7.4355
_cell_angle_alpha 90.00
_cell_angle_beta 90.00
_cell_angle_gamma 90.00
_space_group_name_H-M_alt 'P 4/m m m'
_space_group_IT_number 123
_space_group_name_Hall '-P 4 2'
loop_
_atom_site_label
_atom_site_fract_x
_atom_site_fract_y
_atom_site_fract_z
Dy1 0.0000 0.0000 0.2455
Ga1 0.5000 0.5000 0.0000
Ag1 0.5000 0.5000 0.5000
```

## Properties
The density of states at the Fermi level is 2.81 states/eV/f.u. The formation energy comes out at -457.2 meV/atom.